# TaReSe2 (GGA-PBE, relaxed)
# - E_form (uncorrected) (meV per atom) = -210
# - energy above the most stable polymorph in this dataset (meV per atom) = 0
# - density (g/cm3) = 10.466
# - total moment (μB per cell) = 0.00
data_TaReSe2
_cell_length_a 3.2242
_cell_length_b 3.2242
_cell_length_c 27.7602
_cell_angle_alpha 90.00
_cell_angle_beta 90.00
_cell_angle_gamma 120.00
_space_group_name_H-M_alt 'R 3 m'
_space_group_IT_number 160
_space_group_name_Hall 'R 3 -2"'
loop_
_atom_site_label
_atom_site_type_symbol
_atom_site_fract_x
_atom_site_fract_y
_atom_site_fract_z
_atom_site_occupancy
Ta1 Ta 0.0000 0.0000 0.0000 1
Re1 Re 0.0000 0.0000 0.7459 1
Se1 Se 0.0000 0.0000 0.2695 1
Se2 Se 0.0000 0.0000 0.4718 1


# TaReSe2 (GGA-PBE, relaxed)
# - E_form (uncorrected) (meV per atom) = 635
# - energy above the most stable polymorph in this dataset (meV per atom) = 845
# - density (g/cm3) = 9.554
# - total moment (μB per cell) = 0.00
data_TaReSe2
_cell_length_a 5.6968
_cell_length_b 5.6968
_cell_length_c 11.2480
_cell_angle_alpha 90.00
_cell_angle_beta 90.00
_cell_angle_gamma 90.00
_space_group_name_H-M_alt 'I -4 2 d'
_space_group_IT_number 122
_space_group_name_Hall 'I -4 2bw'
loop_
_atom_site_label
_atom_site_type_symbol
_atom_site_fract_x
_atom_site_fract_y
_atom_site_fract_z
_atom_site_occupancy
Ta1 Ta 0.0000 0.0000 0.0000 1
Re1 Re 0.0000 0.0000 0.5000 1
Se1 Se 0.2331 0.2500 0.6250 1


# TaReSe2 (GGA-PBE, relaxed)
# - E_form (uncorrected) (meV per atom) = 462
# - energy above the most stable polymorph in this dataset (meV per atom) = 672
# - density (g/cm3) = 12.831
# - total moment (μB per cell) = 0.00
data_TaReSe2
_cell_length_a 4.1339
_cell_length_b 4.1339
_cell_length_c 7.9525
_cell_angle_alpha 90.00
_cell_angle_beta 90.00
_cell_angle_gamma 90.00
_space_group_name_H-M_alt 'I -4 m 2'
_space_group_IT_number 119
_space_group_name_Hall 'I -4 -2'
loop_
_atom_site_label
_atom_site_type_symbol
_atom_site_fract_x
_atom_site_fract_y
_atom_site_fract_z
_atom_site_occupancy
Ta1 Ta 0.0000 0.0000 0.0000 1
Re1 Re 0.0000 0.5000 0.7500 1
Se1 Se 0.0000 0.0000 0.5000 1
Se2 Se 0.0000 0.5000 0.2500 1


# TaRe3Se (GGA-PBE, relaxed)
# - E_form (uncorrected) (meV per atom) = 1501
# - energy above the most stable polymorph in this dataset (meV per atom) = 0
# - density (g/cm3) = 14.960
# - total moment (μB per cell) = 0.00
data_TaRe3Se
_cell_length_a 4.4955
_cell_length_b 4.4955
_cell_length_c 4.4955
_cell_angle_alpha 90.00
_cell_angle_beta 90.00
_cell_angle_gamma 90.00
_space_group_name_H-M_alt 'P m -3 m'
_space_group_IT_number 221
_space_group_name_Hall '-P 4 2 3'
loop_
_atom_site_label
_atom_site_type_symbol
_atom_site_fract_x
_atom_site_fract_y
_atom_site_fract_z
_atom_site_occupancy
Ta1 Ta 0.0000 0.0000 0.0000 1
Re1 Re 0.0000 0.5000 0.5000 1
Se1 Se 0.5000 0.5000 0.5000 1


# TaReSe2 (GGA-PBE, relaxed)
# - E_form (uncorrected) (meV per atom) = 54
# - energy above the most stable polymorph in this dataset (meV per atom) = 264
# - density (g/cm3) = 9.378
# - total moment (μB per cell) = 0.00
data_TaReSe2
_cell_length_a 9.0553
_cell_length_b 3.3099
_cell_length_c 6.2560
_cell_angle_alpha 90.00
_cell_angle_beta 97.41
_cell_angle_gamma 90.00
_space_group_name_H-M_alt 'C 1 m 1'
_space_group_IT_number 8
loop_
_space_group_symop_operation_xyz
'x,y,z'
'x,-y,z'
'x+1/2,y+1/2,z'
'x+1/2,-y+1/2,z'
loop_
_atom_site_label
_atom_site_type_symbol
_atom_site_fract_x
_atom_site_fract_y
_atom_site_fract_z
_atom_site_occupancy
Ta1 Ta 0.0000 0.0000 0.0000 1
Re1 Re 0.2844 0.0000 0.8958 1
Se1 Se 0.0097 0.5000 0.6746 1
Se2 Se 0.2380 0.5000 0.1923 1


# Ta2ReSe (GGA-PBE, relaxed)
# - E_form (uncorrected) (meV per atom) = 148
# - density (g/cm3) = 14.129
# - total moment (μB per cell) = 0.00
data_Ta2ReSe
_cell_length_a 3.1543
_cell_length_b 3.1543
_cell_length_c 25.6597
_cell_angle_alpha 90.00
_cell_angle_beta 90.00
_cell_angle_gamma 120.00
_space_group_name_H-M_alt 'R 3 m'
_space_group_IT_number 160
_space_group_name_Hall 'R 3 -2"'
loop_
_atom_site_label
_atom_site_type_symbol
_atom_site_fract_x
_atom_site_fract_y
_atom_site_fract_z
_atom_site_occupancy
Ta1 Ta 0.0000 0.0000 0.0000 1
Ta2 Ta 0.0000 0.0000 0.2421 1
Re1 Re 0.0000 0.0000 0.7388 1
Se1 Se 0.0000 0.0000 0.5038 1


# TaReSe2 (GGA-PBE, relaxed)
# - E_form (uncorrected) (meV per atom) = -142
# - energy above the most stable polymorph in this dataset (meV per atom) = 68
# - density (g/cm3) = 9.014
# - total moment (μB per cell) = 0.00
data_TaReSe2
_cell_length_a 3.7241
_cell_length_b 3.8534
_cell_length_c 13.4813
_cell_angle_alpha 90.00
_cell_angle_beta 90.00
_cell_angle_gamma 90.00
_space_group_name_H-M_alt 'I m m m'
_space_group_IT_number 71
_space_group_name_Hall '-I 2 2'
loop_
_atom_site_label
_atom_site_type_symbol
_atom_site_fract_x
_atom_site_fract_y
_atom_site_fract_z
_atom_site_occupancy
Ta1 Ta 0.0000 0.0000 0.0000 1
Re1 Re 0.0000 0.0000 0.5000 1
Se1 Se 0.0000 0.5000 0.1377 1


# Ta2ReSe2 (GGA-PBE, relaxed)
# - E_form (uncorrected) (meV per atom) = 412
# - energy above the most stable polymorph in this dataset (meV per atom) = 0
# - density (g/cm3) = 13.414
# - total moment (μB per cell) = 0.00
data_Ta2ReSe2
_cell_length_a 7.2736
_cell_length_b 7.2736
_cell_length_c 3.3040
_cell_angle_alpha 90.00
_cell_angle_beta 90.00
_cell_angle_gamma 90.00
_space_group_name_H-M_alt 'P 4/m b m'
_space_group_IT_number 127
_space_group_name_Hall '-P 4 2ab'
loop_
_atom_site_label
_atom_site_type_symbol
_atom_site_fract_x
_atom_site_fract_y
_atom_site_fract_z
_atom_site_occupancy
Ta1 Ta 0.1537 0.3463 0.0000 1
Re1 Re 0.0000 0.0000 0.0000 1
Se1 Se 0.1452 0.6452 0.5000 1


N(E_F) per entry: 9.7; 14.8; 6.1; 5.6; 1.1; 11.7; 4.2; 5.7 states/eV per cell